Entry 1:
Entry from the Alexandria database: an optimized crystal structure of LiBeAs2 (PBE).

a b c (Å): 4.7286 4.7286 2.8447
angles (deg): 83.66 83.66 103.59
Closest atoms and distances in Å follow each position.
Fractional coordinates of all 4 atoms:
As: 0.0000 0.0000 0.0000  4 Li 2.62-2.89, 4 Be 2.62-2.89, 4 As 2.84-2.92
As: 0.5000 0.5000 0.0000  4 Be 2.62-2.89, 4 Li 2.62-2.89, 4 As 2.84-2.92
Be: 0.5000 0.0000 0.5000  8 As 2.62-2.89, 2 Be 2.84, 2 Li 2.92
Li: 0.0000 0.5000 0.5000  8 As 2.62-2.89, 2 Li 2.84, 2 Be 2.92

Summary:
ΔE to the lowest computed polymorph	1.136	eV/f.u.
E_form	0.07	eV/atom


Entry 2:
Entry from the Alexandria database: an optimized crystal structure of LiBe2As (PBE).

a b c (Å): 2.7078 2.7078 7.4610
angles (deg): 90.00 90.00 90.00
Closest atoms and distances in Å follow each position.
Fractional coordinates of all 4 atoms:
As: 0.5000 0.5000 0.7500  8 Be 2.69, 4 As 2.71
Be: 0.0000 0.0000 0.0028  4 Li 2.66, 4 As 2.69, 4 Be 2.71
Be: 0.0000 0.0000 0.4972  4 Li 2.66, 4 As 2.69, 4 Be 2.71
Li: 0.5000 0.5000 0.2500  8 Be 2.66, 4 Li 2.71

Summary:
ΔE to the lowest computed polymorph	1.663	eV/f.u.
E_form	0.49	eV/atom


Entry 3:
Entry from the Alexandria database: an optimized crystal structure of LiBeAs2 (PBE).

a b c (Å): 4.7120 4.7120 4.7120
angles (deg): 135.55 118.58 78.91
Closest atoms and distances in Å follow each position.
Fractional coordinates of all 4 atoms:
As: 0.9767 0.9767 0.0000  2 Be 2.43, 2 Li 2.67
As: 0.5233 0.5233 0.0000  2 Be 2.43, 2 Li 2.67
Be: 0.7500 0.2500 0.5000  4 As 2.43
Li: 0.2500 0.7500 0.5000  8 As 2.67-2.92

Summary:
ΔE to the lowest computed polymorph	0.997	eV/f.u.
E_form	0.04	eV/atom


Entry 4:
Entry from the Alexandria database: an optimized crystal structure of LiBe2As (PBE).

a b c (Å): 3.5993 3.5993 3.5942
angles (deg): 90.00 90.00 90.00
Closest atoms and distances in Å follow each position.
Fractional coordinates of all 4 atoms:
As: 0.0000 0.5000 0.5000  8 Be 2.54, 4 Li 2.55
Be: 0.0000 0.0000 0.0000  4 Li 2.54, 4 As 2.54, 4 Be 2.55
Be: 0.5000 0.5000 0.0000  4 As 2.54, 4 Li 2.54, 4 Be 2.55
Li: 0.5000 0.0000 0.5000  8 Be 2.54, 4 As 2.55

Summary:
ΔE to the lowest computed polymorph	0.000	eV/f.u.
E_form	0.08	eV/atom


Which value of E_form does entry 4 give? 0.08 eV/atom


What is the ΔE to the lowest computed polymorph in the third record? 0.997 eV/f.u.